The following is a DFT calculation (PBE+U) of crystalline YV2O4 at its relaxed geometry.

Cell lengths 5.942, 5.942, 6.799 Å; angles 123.65, 123.65, 72.93 degrees
Element x y z (fractional)
Y 0.120 0.880 0.750
Y 0.880 0.120 0.250
V 0.000 0.500 0.000
V 0.500 0.000 0.500
V 0.500 0.500 0.000
V 0.500 0.500 0.500
O 0.210 0.782 0.435
O 0.218 0.790 0.065
O 0.274 0.358 0.565
O 0.358 0.274 0.065
O 0.642 0.726 0.935
O 0.726 0.642 0.435
O 0.782 0.210 0.935
O 0.790 0.218 0.565

**Total magnetic moment**: 5.000 μB/f.u.
**Offset from the most stable computed form**: 0.00 eV/f.u.